Material: NiPd2IF
Method: DFT, GGA+U
State: relaxed

Results
The total energy is -2.699 eV/atom. The calculated volume is 110 Å³/f.u. The symmetry is P4/mmm, No. 123.

abc: 4.8043 4.7566 4.8043
angles: 90.00 90.00 90.00
Closest atoms and distances in Å follow each position.
Element x y z (fractional)
1 Pd 0.5000 0.0000 0.0000  2 Ni 2.40
2 Pd 0.0000 0.0000 0.5000  2 Ni 2.40
3 Ni 0.0000 0.0000 0.0000  2 I 2.38, 4 Pd 2.40
4 I 0.0000 0.5000 0.0000  2 Ni 2.38
5 F 0.5000 0.5000 0.5000  8 Pd 3.38, 4 I 3.40